No. 1
A plane-wave DFT calculation with GGA-PBE was carried out for TlBr2F after structural relaxation.

The structure in CIF format:
```
data_TlBr2F
_chemical_formula_sum 'Tl1 Br2 F1'
_symmetry_space_group_name_H-M 'P 1'
_symmetry_Int_Tables_number 1
_cell_length_a 8.079
_cell_length_b 8.079
_cell_length_c 8.079
_cell_angle_alpha 36.13
_cell_angle_beta 36.13
_cell_angle_gamma 36.13
loop_
_symmetry_equiv_pos_as_xyz
'x,y,z'
loop_
_atom_site_label
_atom_site_type_symbol
_atom_site_fract_x
_atom_site_fract_y
_atom_site_fract_z
Tl1 Tl 0.000 0.000 0.000
Br1 Br 0.406 0.406 0.406
Br2 Br 0.594 0.594 0.594
F1 F 0.500 0.500 0.500
```

---

No. 2
A plane-wave DFT calculation with GGA-PBE was carried out for Tl3BrF after structural relaxation.

The structure in CIF format:
```
data_Tl3BrF
_chemical_formula_sum 'Tl3 Br1 F1'
_symmetry_space_group_name_H-M 'P 1'
_symmetry_Int_Tables_number 1
_cell_length_a 5.396
_cell_length_b 5.396
_cell_length_c 5.396
_cell_angle_alpha 90.00
_cell_angle_beta 90.00
_cell_angle_gamma 90.00
loop_
_symmetry_equiv_pos_as_xyz
'x,y,z'
loop_
_atom_site_label
_atom_site_type_symbol
_atom_site_fract_x
_atom_site_fract_y
_atom_site_fract_z
Tl1 Tl 0.000 0.000 0.500
Tl2 Tl 0.000 0.500 0.000
Tl3 Tl 0.500 0.000 0.000
Br1 Br 0.500 0.500 0.500
F1 F 0.000 0.000 0.000
```

---

These records have raw total energy values of -9.61 -14.92 eV per cell, in the order they appear.
These records have formation energy from raw total energies values of -0.507 -0.856 eV/atom, in the order they appear.
These records have relative energy among the computed polymorphs values of 40.2 0.0 kJ/mol of atoms, in the order they appear.